No. 1
Material: RbIF2
Method: DFT, PBE-GGA
State: optimized geometry

Calculated values
Formation energy (no corrections), eV per formula unit: -4.85
Crystal system: cubic
N(E_F), states/eV/atom: 0.13

a = 5.0290 Å, b = 5.0290 Å, c = 5.0290 Å
α = 60.00°, β = 60.00°, γ = 60.00°
Closest atoms and distances in Å follow each position.
Atoms (fractional coordinates):
Rb: 0.0000 0.0000 0.0000  8 F 3.08
I: 0.5000 0.5000 0.5000  8 F 3.08
F: 0.2500 0.2500 0.2500  4 I 3.08, 4 Rb 3.08
F: 0.7500 0.7500 0.7500  4 I 3.08, 4 Rb 3.08


No. 2
Material: UVC
Method: DFT, PBE-GGA
State: optimized geometry

Calculated values
Crystal system: orthorhombic
N(E_F), states/eV/atom: 1.38
Energy relative to the elements, eV/atom: -0.0624

a = 7.1756 Å, b = 6.3516 Å, c = 5.5973 Å
α = 73.51°, β = 58.08°, γ = 48.41°
Closest atoms and distances in Å follow each position.
Atoms (fractional coordinates):
U: 0.0000 0.0000 0.0000  2 C 2.47, 2 V 2.65
U: 0.0000 0.0000 0.5000  2 C 2.47, 2 V 2.65
U: 0.0000 0.5000 0.0000  2 C 2.47, 2 V 2.65
U: 0.5000 0.0000 0.0000  2 C 2.47, 2 V 2.65
V: 0.2498 0.2498 0.5002  4 C 2.08-2.23
V: 0.5002 0.5002 0.2498  4 C 2.08-2.23
V: 0.4998 0.4998 0.7502  4 C 2.08-2.23
V: 0.7502 0.7502 0.4998  4 C 2.08-2.23
C: 0.2055 0.5445 0.2055  4 V 2.08-2.23
C: 0.4555 0.7945 0.4555  4 V 2.08-2.23
C: 0.5445 0.2055 0.5445  4 V 2.08-2.23
C: 0.7945 0.4555 0.7945  4 V 2.08-2.23


No. 3
Material: Li3TcH8
Method: DFT, PBE-GGA
State: optimized geometry

Calculated values
Crystal system: cubic
N(E_F), states/eV/atom: 0.29
VASP energy, eV per atom: -3.681

a = 4.4306 Å, b = 4.4306 Å, c = 4.4306 Å
α = 90.00°, β = 90.00°, γ = 90.00°
Closest atoms and distances in Å follow each position.
Atoms (fractional coordinates):
Li: 0.0000 0.0000 0.5000  8 H 1.98
Li: 0.0000 0.5000 0.0000  8 H 1.98
Li: 0.5000 0.0000 0.0000  8 H 1.98
Tc: 0.5000 0.5000 0.5000  8 H 1.75
H: 0.2720 0.2720 0.2720  1 Tc 1.75
H: 0.2720 0.2720 0.7280  1 Tc 1.75
H: 0.2720 0.7280 0.2720  1 Tc 1.75
H: 0.2720 0.7280 0.7280  1 Tc 1.75
H: 0.7280 0.2720 0.2720  1 Tc 1.75
H: 0.7280 0.2720 0.7280  1 Tc 1.75
H: 0.7280 0.7280 0.2720  1 Tc 1.75
H: 0.7280 0.7280 0.7280  1 Tc 1.75


No. 4
Material: KZn2Tc
Method: DFT, PBE-GGA
State: optimized geometry

Calculated values
Crystal system: tetragonal
N(E_F), states/eV/atom: 0.58
Energy relative to the elements, eV/atom: 0.5770

a = 2.7355 Å, b = 2.7355 Å, c = 9.8376 Å
α = 90.00°, β = 90.00°, γ = 90.00°
Closest atoms and distances in Å follow each position.
Atoms (fractional coordinates):
K: 0.0000 0.0000 0.0000  4 K 2.74
Zn: 0.0000 0.0000 0.4931  8 Zn 2.74-2.85, 4 Tc 2.75
Zn: 0.5000 0.5000 0.7054  8 Zn 2.74-2.85
Tc: 0.5000 0.5000 0.2944  4 Tc 2.74, 4 Zn 2.75


No. 5
Material: GePb3Au4
Method: DFT, PBE-GGA
State: optimized geometry

Calculated values
Crystal system: orthorhombic
N(E_F), states/eV/atom: 0.45
Energy relative to the elements, eV/atom: -0.0084

a = 11.5333 Å, b = 8.9612 Å, c = 8.1858 Å
α = 90.00°, β = 90.00°, γ = 90.00°
Closest atoms and distances in Å follow each position.
Atoms (fractional coordinates):
Ge: 0.1235 0.2500 0.2023  4 Au 2.52-2.59
Ge: 0.3765 0.7500 0.7023  4 Au 2.52-2.59
Ge: 0.6235 0.2500 0.2977  4 Au 2.52-2.59
Ge: 0.8765 0.7500 0.7977  4 Au 2.52-2.59
Pb: 0.0408 0.7500 0.1765  6 Au 2.88-3.08
Pb: 0.1418 0.5262 0.6453  5 Au 2.93-3.21
Pb: 0.1418 0.9738 0.6453  5 Au 2.93-3.21
Pb: 0.3582 0.0262 0.1453  5 Au 2.93-3.21
Pb: 0.3582 0.4738 0.1453  5 Au 2.93-3.21
Pb: 0.4592 0.2500 0.6765  6 Au 2.88-3.08
Pb: 0.5408 0.7500 0.3235  6 Au 2.88-3.08
Pb: 0.6418 0.5262 0.8547  5 Au 2.93-3.21
Pb: 0.6418 0.9738 0.8547  5 Au 2.93-3.21
Pb: 0.8582 0.0262 0.3547  5 Au 2.93-3.21
Pb: 0.8582 0.4738 0.3547  5 Au 2.93-3.21
Pb: 0.9592 0.2500 0.8235  6 Au 2.88-3.08
Au: 0.0199 0.2500 0.4827  1 Ge 2.59, 1 Pb 2.88
Au: 0.1225 0.0360 0.0017  1 Ge 2.52
Au: 0.1225 0.4640 0.0017  1 Ge 2.52
Au: 0.2221 0.7500 0.9291  1 Ge 2.57, 2 Au 2.87
Au: 0.2779 0.2500 0.4291  1 Ge 2.57, 2 Au 2.87
Au: 0.3775 0.5360 0.5017  1 Ge 2.52
Au: 0.3775 0.9640 0.5017  1 Ge 2.52
Au: 0.4801 0.7500 0.9827  1 Ge 2.59, 1 Pb 2.88
Au: 0.5199 0.2500 0.0173  1 Ge 2.59, 1 Pb 2.88
Au: 0.6225 0.0360 0.4983  1 Ge 2.52
Au: 0.6225 0.4640 0.4983  1 Ge 2.52
Au: 0.7221 0.7500 0.5709  1 Ge 2.57, 2 Au 2.87
Au: 0.7779 0.2500 0.0709  1 Ge 2.57, 2 Au 2.87
Au: 0.8775 0.5360 0.9983  1 Ge 2.52
Au: 0.8775 0.9640 0.9983  1 Ge 2.52
Au: 0.9801 0.7500 0.5173  1 Ge 2.59, 1 Pb 2.88


No. 6
Material: Rb2TlAg2
Method: DFT, PBE-GGA
State: optimized geometry

Calculated values
Crystal system: tetragonal
N(E_F), states/eV/atom: 0.53
Energy relative to the elements, eV/atom: 0.0680

a = 8.0528 Å, b = 8.0528 Å, c = 5.5067 Å
α = 90.00°, β = 90.00°, γ = 90.00°
Closest atoms and distances in Å follow each position.
Atoms (fractional coordinates):
Rb: 0.1759 0.3241 0.0000  6 Ag 3.56-3.70
Rb: 0.3241 0.8241 0.0000  6 Ag 3.56-3.70
Rb: 0.6759 0.1759 0.0000  6 Ag 3.56-3.70
Rb: 0.8241 0.6759 0.0000  6 Ag 3.56-3.70
Tl: 0.0000 0.0000 0.5000  4 Ag 3.18
Tl: 0.5000 0.5000 0.5000  4 Ag 3.18
Ag: 0.1261 0.6261 0.5000  1 Ag 2.87, 2 Tl 3.18
Ag: 0.3739 0.1261 0.5000  1 Ag 2.87, 2 Tl 3.18
Ag: 0.6261 0.8739 0.5000  1 Ag 2.87, 2 Tl 3.18
Ag: 0.8739 0.3739 0.5000  1 Ag 2.87, 2 Tl 3.18


No. 7
Material: TlZnAg2
Method: DFT, PBE-GGA
State: optimized geometry

Calculated values
Crystal system: orthorhombic
N(E_F), states/eV/atom: 0.23
Energy relative to the elements, eV/atom: 0.1571

a = 5.0651 Å, b = 5.0651 Å, c = 3.2692 Å
α = 90.00°, β = 90.00°, γ = 108.32°
Closest atoms and distances in Å follow each position.
Atoms (fractional coordinates):
Tl: 0.0000 0.0000 0.0000  2 Zn 2.97, 8 Ag 3.01, 2 Tl 3.27
Zn: 0.5000 0.5000 0.0000  2 Tl 2.97, 8 Ag 3.01, 2 Zn 3.27
Ag: 0.0000 0.5000 0.5000  4 Ag 2.97-3.27, 4 Tl 3.01, 4 Zn 3.01
Ag: 0.5000 0.0000 0.5000  4 Ag 2.97-3.27, 4 Tl 3.01, 4 Zn 3.01


No. 8
Material: CdIn2F6
Method: DFT, PBE-GGA
State: optimized geometry

Calculated values
Formation energy (no corrections), eV per formula unit: -18.70
Crystal system: monoclinic
N(E_F), states/eV/atom: 0.25

a = 7.5514 Å, b = 7.5514 Å, c = 5.4940 Å
α = 96.68°, β = 96.68°, γ = 101.92°
Closest atoms and distances in Å follow each position.
Atoms (fractional coordinates):
Cd: 0.0939 0.9061 0.7500  6 F 2.22-2.32
Cd: 0.9061 0.0939 0.2500  6 F 2.22-2.32
In: 0.2290 0.4405 0.8992  5 F 2.23-2.44
In: 0.4405 0.2290 0.3992  5 F 2.23-2.44
In: 0.5595 0.7710 0.6008  5 F 2.23-2.44
In: 0.7710 0.5595 0.1008  5 F 2.23-2.44
F: 0.0437 0.6357 0.8819  1 Cd 2.22, 1 In 2.23
F: 0.0795 0.1893 0.6354  1 In 2.25, 2 Cd 2.31-2.32
F: 0.1893 0.0795 0.1354  1 In 2.25, 2 Cd 2.31-2.32
F: 0.3219 0.4966 0.5267  3 In 2.30-2.44
F: 0.3643 0.9563 0.6181  1 Cd 2.22, 1 In 2.23
F: 0.4966 0.3219 0.0267  3 In 2.30-2.44
F: 0.5034 0.6781 0.9733  3 In 2.30-2.44
F: 0.6357 0.0437 0.3819  1 Cd 2.22, 1 In 2.23
F: 0.6781 0.5034 0.4733  3 In 2.30-2.44
F: 0.8107 0.9205 0.8646  1 In 2.25, 2 Cd 2.31-2.32
F: 0.9205 0.8107 0.3646  1 In 2.25, 2 Cd 2.31-2.32
F: 0.9563 0.3643 0.1181  1 Cd 2.22, 1 In 2.23


No. 9
Material: LiDy2Tl4
Method: DFT, PBE-GGA
State: optimized geometry

Calculated values
Crystal system: tetragonal
N(E_F), states/eV/atom: 0.43
Energy relative to the elements, eV/atom: -0.1881

a = 5.1562 Å, b = 5.1562 Å, c = 7.3191 Å
α = 90.00°, β = 90.00°, γ = 90.00°
Closest atoms and distances in Å follow each position.
Atoms (fractional coordinates):
Li: 0.0000 0.0000 0.0000  8 Tl 3.17
Dy: 0.0000 0.0000 0.5000  8 Tl 3.15
Dy: 0.5000 0.5000 0.0000  8 Tl 3.17
Tl: 0.0000 0.5000 0.2528  4 Dy 3.15-3.17, 2 Li 3.17
Tl: 0.0000 0.5000 0.7472  4 Dy 3.15-3.17, 2 Li 3.17
Tl: 0.5000 0.0000 0.2528  4 Dy 3.15-3.17, 2 Li 3.17
Tl: 0.5000 0.0000 0.7472  4 Dy 3.15-3.17, 2 Li 3.17


No. 10
Material: KSr2Mg
Method: DFT, PBE-GGA
State: optimized geometry

Calculated values
Crystal system: tetragonal
N(E_F), states/eV/atom: 1.08
Energy relative to the elements, eV/atom: 0.1616

a = 7.2498 Å, b = 7.2498 Å, c = 7.2498 Å
α = 134.51°, β = 134.51°, γ = 66.30°
Closest atoms and distances in Å follow each position.
Atoms (fractional coordinates):
K: 0.0000 0.0000 0.0000  8 Sr 3.96-4.13, 4 Mg 4.13
Sr: 0.5000 0.5000 0.0000  4 K 3.96, 4 Mg 4.13, 4 Sr 4.13
Sr: 0.7500 0.2500 0.5000  4 Mg 3.96, 4 K 4.13, 4 Sr 4.13
Mg: 0.2500 0.7500 0.5000  8 Sr 3.96-4.13, 4 K 4.13


No. 11
Material: Th3AlTc2
Method: DFT, PBE-GGA
State: optimized geometry

Calculated values
Crystal system: monoclinic
N(E_F), states/eV/atom: 1.14
Energy relative to the elements, eV/atom: -0.1639

a = 8.4436 Å, b = 8.4436 Å, c = 8.4782 Å
α = 107.65°, β = 107.65°, γ = 30.88°
Closest atoms and distances in Å follow each position.
Atoms (fractional coordinates):
Th: 0.0768 0.0768 0.2196  2 Tc 2.71-2.75
Th: 0.2363 0.2363 0.6834  3 Tc 2.84-3.06
Th: 0.3875 0.3875 0.1211  5 Tc 2.84-2.96
Th: 0.6125 0.6125 0.8789  5 Tc 2.84-2.96
Th: 0.7637 0.7637 0.3166  3 Tc 2.84-3.06
Th: 0.9232 0.9232 0.7804  2 Tc 2.71-2.75
Al: 0.4202 0.4202 0.5188  1 Al 2.72, 2 Tc 2.74
Al: 0.5798 0.5798 0.4812  1 Al 2.72, 2 Tc 2.74
Tc: 0.0567 0.0567 0.6464  1 Tc 2.59, 2 Al 2.74, 2 Th 2.75-2.84
Tc: 0.1983 0.1983 0.0634  4 Th 2.71-2.96
Tc: 0.8017 0.8017 0.9366  4 Th 2.71-2.96
Tc: 0.9433 0.9433 0.3536  1 Tc 2.59, 2 Al 2.74, 2 Th 2.75-2.84


No. 12
Material: ZrAgAs2
Method: DFT, PBE-GGA
State: optimized geometry

Calculated values
Crystal system: trigonal
N(E_F), states/eV/atom: 0.58
Energy relative to the elements, eV/atom: -0.1590

a = 8.8808 Å, b = 8.8808 Å, c = 8.8808 Å
α = 21.16°, β = 21.16°, γ = 21.16°
Closest atoms and distances in Å follow each position.
Atoms (fractional coordinates):
Zr: 0.0000 0.0000 0.0000  6 As 2.82
Ag: 0.5000 0.5000 0.5000  6 As 2.93, 6 Ag 3.26
As: 0.2529 0.2529 0.2529  3 Zr 2.82, 3 Ag 2.93
As: 0.7471 0.7471 0.7471  3 Zr 2.82, 3 Ag 2.93


- N(E_F) of number 2 (UVC)?
  1.38 states/eV/atom


- Which value of N(E_F) does entry 9 give?
  0.43 states/eV/atom


- Among the records above, which one has the lowest N(E_F)?
  RbIF2


- Which formula does entry 4 have?
  KZn2Tc